Record 1
Computed, not measured: a PBEsol-optimized structure of ScMnPt at the meta-GGA SCAN level of DFT. Values from VASP.

Output
Its volume is 18.54 A^3/atom.

Cell and atoms, written as Quantum ESPRESSO input:
```
&SYSTEM
  ibrav = 0, nat = 3, ntyp = 3
/
ATOMIC_SPECIES
Sc 44.96 Sc.upf
Mn 54.94 Mn.upf
Pt 195.08 Pt.upf
ATOMIC_POSITIONS crystal
Sc 0.0000 0.0000 0.0000
Mn 0.7500 0.7500 0.7500
Pt 0.2500 0.2500 0.2500
CELL_PARAMETERS angstrom
0.0000 3.0296 3.0296
3.0296 0.0000 3.0296
3.0296 3.0296 0.0000
```



Record 2
Computed, not measured: a PBEsol-optimized structure of SbAs2Cl13 at the meta-GGA SCAN level of DFT. Values from VASP.

Output
The value obtained for the formation energy (no corrections) is -0.668 eV/atom. Its volume is 30.08 A^3/atom.

Cell and atoms, written as Quantum ESPRESSO input:
```
&SYSTEM
  ibrav = 0, nat = 32, ntyp = 3
/
ATOMIC_SPECIES
Sb 121.76 Sb.upf
As 74.92 As.upf
Cl 35.45 Cl.upf
ATOMIC_POSITIONS crystal
Sb 0.2178 0.7822 0.5000
Sb 0.7822 0.2178 0.0000
As 0.1372 0.8628 0.0408
As 0.4381 0.5619 0.3510
As 0.5619 0.4381 0.8510
As 0.8628 0.1372 0.5408
Cl 0.0027 0.6708 0.6245
Cl 0.0880 0.2407 0.6043
Cl 0.0875 0.9125 0.3974
Cl 0.1060 0.5643 0.3736
Cl 0.1337 0.8663 0.8623
Cl 0.2407 0.0880 0.1043
Cl 0.2647 0.7353 0.0927
Cl 0.3108 0.3665 0.8717
Cl 0.3292 0.9973 0.6245
Cl 0.3519 0.6481 0.5968
Cl 0.3665 0.3108 0.3717
Cl 0.4357 0.8940 0.3736
Cl 0.4381 0.5619 0.1589
Cl 0.5619 0.4381 0.6589
Cl 0.5643 0.1060 0.8736
Cl 0.6335 0.6892 0.8717
Cl 0.6481 0.3519 0.0968
Cl 0.6708 0.0027 0.1245
Cl 0.6892 0.6335 0.3717
Cl 0.7353 0.2647 0.5927
Cl 0.7593 0.9120 0.6043
Cl 0.8663 0.1337 0.3623
Cl 0.8940 0.4357 0.8736
Cl 0.9125 0.0875 0.8974
Cl 0.9120 0.7593 0.1043
Cl 0.9973 0.3292 0.1245
CELL_PARAMETERS angstrom
5.1822 -7.8955 0.0000
5.1822 7.8955 0.0000
0.0000 0.0000 11.7613
```



Number 1: electronic total energy -103.51 eV/f.u.. Number 2: electronic total energy -192.04 eV/f.u..